VASP calculation (GGA+U) on a relaxed structure of PaCoOsO6.

Computed properties:
Total moment ... 6.0 μB/f.u.
Volume ... 12.7 Å³/atom
E ... -8.026 eV/atom

abc: 5.4431 5.4431 8.9011
angles: 90.00 90.00 120.00
Closest atoms and distances in Å follow each position.
Fractional coordinates of all 18 atoms:
O: 0.3267 0.3553 0.8707  1 Os 1.99, 1 Co 2.19, 1 Pa 2.19
O: 0.6447 0.9714 0.8707  1 Os 1.99, 1 Co 2.19, 1 Pa 2.19
O: 0.6733 0.6447 0.1293  1 Os 1.99, 1 Co 2.19, 1 Pa 2.19
O: 0.6447 0.6733 0.6293  1 Os 1.99, 1 Co 2.19, 1 Pa 2.19
Co: 0.0000 0.0000 0.5000  6 O 2.19
Pa: 0.6667 0.3333 0.7500  6 O 2.19
Os: 0.3333 0.6667 0.7500  6 O 1.99
O: 0.9714 0.6447 0.3707  1 Os 1.99, 1 Co 2.19, 1 Pa 2.19
O: 0.0286 0.3553 0.6293  1 Os 1.99, 1 Co 2.19, 1 Pa 2.19
Pa: 0.3333 0.6667 0.2500  6 O 2.19
O: 0.3553 0.0286 0.1293  1 Os 1.99, 1 Co 2.19, 1 Pa 2.19
O: 0.3267 0.9714 0.6293  1 Os 1.99, 1 Co 2.19, 1 Pa 2.19
O: 0.9714 0.3267 0.1293  1 Os 1.99, 1 Co 2.19, 1 Pa 2.19
O: 0.6733 0.0286 0.3707  1 Os 1.99, 1 Co 2.19, 1 Pa 2.19
O: 0.3553 0.3267 0.3707  1 Os 1.99, 1 Co 2.19, 1 Pa 2.19
Os: 0.6667 0.3333 0.2500  6 O 1.99
Co: 0.0000 0.0000 0.0000  6 O 2.19
O: 0.0286 0.6733 0.8707  1 Os 1.99, 1 Co 2.19, 1 Pa 2.19